No. 1
Here is crystalline DyTe2Rh at its relaxed geometry from Alexandria. Energies are from PBE-GGA.

Properties
Energy relative to the elements, uncorrected ... -118 kJ/mol of formula units
Raw total energy ... -4.86 eV per atom
Total magnetic moment ... 0.0 μB/cell
V ... 119.3 Å³/f.u.

Unit cell a=3.9361 b=3.9361 c=26.6859 alpha=90.00 beta=90.00 gamma=120.00
Space group R-3m (No. 166, hexagonal axes)
Unique sites:
Dy  0.0000  0.0000  0.0000 [3 per cell]
Te  0.0000  0.0000  0.1140 [6 per cell]
Rh  0.0000  0.0000  0.5000 [3 per cell]

***

No. 2
Here is crystalline DyTeRh at its relaxed geometry from Alexandria. Energies are from PBE-GGA.

Properties
Energy relative to the elements, uncorrected ... -198 kJ/mol of formula units
Raw total energy ... -5.72 eV per atom
Total magnetic moment ... 0.0 μB/cell
V ... 68.7 Å³/f.u.

Unit cell a=3.881 b=3.881 c=9.120 alpha=90.00 beta=90.00 gamma=90.00
Space group I4mm (No. 107)
Unique sites:
Dy  0.000  0.000  0.000 [2 per cell]
Te  0.000  0.000  0.331 [2 per cell]
Rh  0.000  0.000  0.626 [2 per cell]

***

No. 3
Here is crystalline Dy5Te4Rh at its relaxed geometry from Alexandria. Energies are from PBE-GGA.

Properties
Energy relative to the elements, uncorrected ... -1145 kJ/mol of formula units
Raw total energy ... -5.48 eV per atom
Total magnetic moment ... 0.0 μB/cell
E above lowest polymorph ... 10 meV/atom
V ... 281.5 Å³/f.u.

Unit cell a=4.252 b=4.252 c=31.139 alpha=90.00 beta=90.00 gamma=90.00
Space group I4/mmm (No. 139)
Unique sites:
Dy  0.000  0.000  0.000 [2 per cell]
Dy  0.000  0.000  0.210 [4 per cell]
Dy  0.000  0.000  0.417 [4 per cell]
Te  0.000  0.000  0.105 [4 per cell]
Te  0.000  0.000  0.310 [4 per cell]
Rh  0.000  0.000  0.500 [2 per cell]

***

No. 4
Here is crystalline Dy2TeRh at its relaxed geometry from Alexandria. Energies are from PBE-GGA.

Properties
Energy relative to the elements, uncorrected ... -356 kJ/mol of formula units
Raw total energy ... -5.85 eV per atom
Total magnetic moment ... 0.0 μB/cell
E above lowest polymorph ... 106 meV/atom
V ... 95.4 Å³/f.u.

Unit cell a=3.618 b=3.618 c=7.290 alpha=90.00 beta=90.00 gamma=90.00
Space group P4/mmm (No. 123)
Unique sites:
Dy  0.000  0.000  0.224 [2 per cell]
Te  0.500  0.500  0.500 [1 per cell]
Rh  0.500  0.500  0.000 [1 per cell]